(a)
This record from Alexandria describes crystalline CePSe4 at its relaxed geometry. The functional is PBE.

extended XYZ file:
```
6
Lattice="5.7180 -0.4369 -1.6169 -3.3747 4.6365 -1.6168 0.2437 0.4370 5.9370" Properties=species:S:1:pos:R:3 pbc="T T T"
Ce 3.5667 1.0499 1.3516
P 1.1716 2.0998 -1.6168
Se 0.7337 1.3163 2.2395
Se 1.8539 3.3217 0.4630
Se -1.0177 3.3208 -1.6160
Se 3.6040 1.3147 4.3204
```

Values from the calculation:
Density of states at the Fermi level in states/eV per atom: 0.926
Total moment in μB per cell: 0.333



(b)
This record from Alexandria describes crystalline CePSe4 at its relaxed geometry. The functional is PBE.

extended XYZ file:
```
6
Lattice="-5.5790 -0.6819 3.8202 -3.6581 -1.3084 -5.5759 5.3119 -2.5563 1.2564" Properties=species:S:1:pos:R:3 pbc="T T T"
Ce -2.4429 -2.1167 2.0993
P -4.6186 -0.9952 -0.8779
Se -3.5506 -2.0403 -2.5692
Se -5.2872 -1.9955 1.0315
Se 2.2534 -2.0954 1.1129
Se -1.2661 -2.9622 -0.5738
```

Values from the calculation:
Density of states at the Fermi level in states/eV per atom: 1.221
Total moment in μB per cell: 1.002



Stability verdict: (b), ahead by 0.131 eV/atom



(a)
This record from Alexandria describes crystalline Ce3P2Se at its relaxed geometry. The functional is PBE.

extended XYZ file:
```
6
Lattice="-1.9806 -3.6028 -0.3953 3.2594 -1.5736 -1.9899 2.7206 -0.0956 8.8184" Properties=species:S:1:pos:R:3 pbc="T T T"
Ce 3.5782 -4.9217 5.4752
Ce 1.7927 -1.4195 4.0711
Ce 1.3610 -3.1522 0.4476
P 0.6890 -0.5379 1.5662
P 2.4647 -4.0338 2.9524
Se 2.9390 -2.3335 6.6678
```

Values from the calculation:
Density of states at the Fermi level in states/eV per atom: 2.290
Total moment in μB per cell: 2.175



(b)
This record from Alexandria describes crystalline Ce3P2Se at its relaxed geometry. The functional is PBE.

extended XYZ file:
```
12
Lattice="7.3767 0.0000 0.0000 0.0000 6.7326 2.7520 0.0000 0.9536 7.2106" Properties=species:S:1:pos:R:3 pbc="T T T"
Ce 5.5325 6.0746 3.2597
Ce 5.5325 1.2538 3.9272
Ce 1.8442 3.4806 2.2092
Ce 5.5325 4.2057 7.7534
Ce 1.8442 6.4325 6.0353
Ce 1.8442 1.6117 6.7029
P 0.0000 1.2851 1.6657
P 3.6884 1.2851 1.6657
P 0.0000 6.4011 8.2968
P 3.6884 6.4011 8.2968
Se 1.8442 3.8277 4.9932
Se 5.5325 3.8586 4.9694
```

Values from the calculation:
Density of states at the Fermi level in states/eV per atom: 2.755
Total moment in μB per cell: 7.571



Stability verdict: (a), ahead by 0.336 eV/atom